No. 1
CsPb2IO8: optimized geometry, PBE.

Summary:
crystal system: triclinic
SG: P-1, No. 2
raw formation energy: -657 meV per atom

a = 4.9834 Å, b = 4.9836 Å, c = 9.5571 Å
α = 91.77°, β = 88.50°, γ = 93.35°
Last column: magnetic moment on the atom in μB.
Sites, in units of the cell vectors:
O 0.1800 0.8187 0.8495  -0.01
O 0.7136 0.7166 0.9990  0.03
O 0.4295 0.5816 0.4646  0.47
O 0.2864 0.2834 0.0010  0.03
O 0.1655 0.8316 0.1492  -0.01
O 0.8345 0.1684 0.8508  -0.01
O 0.5705 0.4184 0.5354  0.47
O 0.8200 0.1813 0.1505  -0.01
I 0.0000 0.0000 0.0000  0.01
Pb 0.4943 0.5116 0.1793  0.02
Pb 0.5057 0.4884 0.8207  0.02
Cs 0.0000 0.0000 0.5000  0.00

No. 2
CuRu2Pt2: optimized geometry, PBE.

Summary:
calculated formation energy: 2.09 eV/f.u.
crystal system: tetragonal
SG: P4/mbm, No. 127

a = 7.6487 Å, b = 7.6487 Å, c = 2.7186 Å
α = 90.00°, β = 90.00°, γ = 90.00°
Last column: magnetic moment on the atom in μB.
Sites, in units of the cell vectors:
Pt 0.3756 0.8756 0.0000  0.07
Pt 0.8756 0.6244 0.0000  0.07
Pt 0.6244 0.1244 0.0000  0.07
Pt 0.1244 0.3756 0.0000  0.07
Cu 0.5000 0.5000 0.0000  0.03
Cu 0.0000 0.0000 0.0000  0.03
Ru 0.8257 0.3257 0.5000  0.48
Ru 0.3257 0.1743 0.5000  0.46
Ru 0.6743 0.8257 0.5000  0.46
Ru 0.1743 0.6743 0.5000  0.48

no.,magnetic moment (μB per formula unit)
1,1.214
2,1.140